Arrangement one

Below is an optimized crystal structure of Mg3TlN, with properties calculated at the GGA-PBEsol level.

Values from the calculation:
crystal system = cubic
density = 5.8 g/cm3

a = 4.3629 Å, b = 4.3629 Å, c = 4.3629 Å
α = 90.00°, β = 90.00°, γ = 90.00°
Last column: nearest neighbours and their distance in Å.
Positions (direct):
Mg 0.0000 0.0000 0.5000  2 N 2.18
Mg 0.0000 0.5000 0.0000  2 N 2.18
Mg 0.5000 0.0000 0.0000  2 N 2.18
Tl 0.5000 0.5000 0.5000  12 Mg 3.09
N 0.0000 0.0000 0.0000  6 Mg 2.18


Arrangement two

Below is an optimized crystal structure of Mg3TlN, with properties calculated at the GGA-PBEsol level.

Values from the calculation:
crystal system = cubic
density = 3.4 g/cm3

a = 5.2423 Å, b = 5.2423 Å, c = 5.2423 Å
α = 90.00°, β = 90.00°, γ = 90.00°
Last column: nearest neighbours and their distance in Å.
Positions (direct):
Mg 0.0000 0.0000 0.5000  2 Tl 2.62
Mg 0.0000 0.5000 0.0000  2 Tl 2.62
Mg 0.5000 0.0000 0.0000  2 Tl 2.62
Tl 0.0000 0.0000 0.0000  6 Mg 2.62
N 0.5000 0.5000 0.5000  12 Mg 3.71


Which one sits at the bottom of the stability order? arrangement two does.


Arrangement one

Below is an optimized crystal structure of Na2Mg3, with properties calculated at the GGA-PBEsol level.

Values from the calculation:
crystal system = orthorhombic
density = 1.5 g/cm3

a = 14.8756 Å, b = 5.8716 Å, c = 15.8388 Å
α = 69.85°, β = 21.75°, γ = 88.40°
Last column: nearest neighbours and their distance in Å.
Positions (direct):
Na 0.3008 0.6992 0.3044  4 Na 3.13-3.48, 6 Mg 3.21-3.38
Na 0.5544 0.9456 0.5508  4 Na 3.13-3.48, 6 Mg 3.21-3.38
Na 0.6992 0.3008 0.6956  4 Na 3.13-3.48, 6 Mg 3.21-3.38
Na 0.9456 0.5544 0.9492  4 Na 3.13-3.48, 6 Mg 3.21-3.38
Mg 0.0887 0.8898 0.1047  6 Mg 3.13-3.38, 4 Na 3.21-3.38
Mg 0.1453 0.3333 0.1613  6 Mg 3.13-3.38, 4 Na 3.21-3.38
Mg 0.3333 0.1453 0.3602  6 Mg 3.13-3.38, 4 Na 3.21-3.38
Mg 0.4863 0.4863 0.5137  6 Mg 3.13-3.27, 4 Na 3.32-3.33
Mg 0.7363 0.7363 0.7637  6 Mg 3.13-3.27, 4 Na 3.32-3.33
Mg 0.8898 0.0887 0.9167  6 Mg 3.13-3.38, 4 Na 3.21-3.38


Arrangement two

Below is an optimized crystal structure of Na2Mg3, with properties calculated at the GGA-PBEsol level.

Values from the calculation:
crystal system = trigonal
density = 1.5 g/cm3

a = 14.1243 Å, b = 14.1243 Å, c = 14.1243 Å
α = 13.31°, β = 13.31°, γ = 13.31°
Last column: nearest neighbours and their distance in Å.
Positions (direct):
Na 0.0986 0.0986 0.0986  6 Na 3.27, 6 Mg 3.43
Na 0.9014 0.9014 0.9014  6 Na 3.27, 6 Mg 3.43
Mg 0.3030 0.3030 0.3030  9 Mg 3.17-3.27, 3 Na 3.43
Mg 0.5000 0.5000 0.5000  6 Mg 3.27, 6 Na 3.43
Mg 0.6970 0.6970 0.6970  9 Mg 3.17-3.27, 3 Na 3.43


Which one sits at the bottom of the stability order? arrangement one does.


Arrangement one

Below is an optimized crystal structure of Na2MgSb2, with properties calculated at the GGA-PBEsol level.

Values from the calculation:
crystal system = tetragonal
density = 4.0 g/cm3

a = 9.0076 Å, b = 9.0076 Å, c = 3.1829 Å
α = 90.00°, β = 90.00°, γ = 90.00°
Last column: nearest neighbours and their distance in Å.
Positions (direct):
Na 0.1140 0.3860 0.0000  3 Na 2.90-3.18, 6 Sb 3.01-3.20
Na 0.3860 0.8860 0.0000  3 Na 2.90-3.18, 6 Sb 3.01-3.20
Na 0.6140 0.1140 0.0000  3 Na 2.90-3.18, 6 Sb 3.01-3.20
Na 0.8860 0.6140 0.0000  3 Na 2.90-3.18, 6 Sb 3.01-3.20
Mg 0.0000 0.0000 0.0000  2 Mg 3.18
Mg 0.5000 0.5000 0.0000  2 Mg 3.18
Sb 0.1856 0.6856 0.5000  6 Na 3.01-3.20, 2 Sb 3.18
Sb 0.3144 0.1856 0.5000  6 Na 3.01-3.20, 2 Sb 3.18
Sb 0.6856 0.8144 0.5000  6 Na 3.01-3.20, 2 Sb 3.18
Sb 0.8144 0.3144 0.5000  6 Na 3.01-3.20, 2 Sb 3.18


Arrangement two

Below is an optimized crystal structure of Na2MgSb2, with properties calculated at the GGA-PBEsol level.

Values from the calculation:
crystal system = tetragonal
density = 3.8 g/cm3

a = 7.4306 Å, b = 7.4306 Å, c = 5.0248 Å
α = 90.00°, β = 90.00°, γ = 90.00°
Last column: nearest neighbours and their distance in Å.
Positions (direct):
Na 0.1650 0.3350 0.0000  6 Sb 3.26-3.38, 1 Na 3.47
Na 0.3350 0.8350 0.0000  6 Sb 3.26-3.38, 1 Na 3.47
Na 0.6650 0.1650 0.0000  6 Sb 3.26-3.38, 1 Na 3.47
Na 0.8350 0.6650 0.0000  6 Sb 3.26-3.38, 1 Na 3.47
Mg 0.0000 0.0000 0.5000  4 Sb 2.88
Mg 0.5000 0.5000 0.5000  4 Sb 2.88
Sb 0.1379 0.6379 0.5000  2 Mg 2.88, 1 Sb 2.90
Sb 0.3621 0.1379 0.5000  2 Mg 2.88, 1 Sb 2.90
Sb 0.6379 0.8621 0.5000  2 Mg 2.88, 1 Sb 2.90
Sb 0.8621 0.3621 0.5000  2 Mg 2.88, 1 Sb 2.90


Which one sits at the bottom of the stability order? arrangement one does.